DFT (PBE-GGA) results for a geometry-optimized LaHfGa3 structure.

POSCAR file:
```
LaHfGa3
1.0
5.3418 0.0000 0.0000
0.0000 5.3418 0.0000
0.0000 0.0000 5.3418
La Hf Ga
1 1 3
Direct
0.0000 0.0000 0.0000
0.5000 0.5000 0.5000
0.0000 0.0000 0.5000
0.0000 0.5000 0.0000
0.5000 0.0000 0.0000
```

E_form (eV/atom): 1.165
Total magnetization (μB per cell): 0.000
D(E_F) (states/eV/cell): 6.44
Excess energy over the best structure of this formula in the dataset (eV/atom): 1.703
Final energy (eV/cell): -18.14


DFT (PBE-GGA) results for a geometry-optimized Rb2SrTlI5 structure.

POSCAR file:
```
Rb2SrTlI5
1.0
6.2650 0.0000 0.0000
0.0000 6.2650 0.0000
0.0000 0.0000 13.1652
Rb Sr Tl I
2 1 1 5
Direct
0.0000 0.0000 0.2201
0.0000 0.0000 0.7799
0.5000 0.5000 0.0000
0.5000 0.5000 0.5000
0.0000 0.0000 0.5000
0.0000 0.5000 0.0000
0.5000 0.0000 0.0000
0.5000 0.5000 0.2476
0.5000 0.5000 0.7524
```

Formation energy from raw total energies (eV per atom): -1.29
Total magnetization (μB per cell): 0.112
D(E_F) (states/eV/cell): 0.00
Final energy (eV/cell): -25.31


DFT (PBE-GGA) results for a geometry-optimized In2TcSb structure.

POSCAR file:
```
In2TcSb
1.0
3.2333 0.0000 0.0000
0.0000 3.2333 0.0000
0.0000 0.0000 8.7842
In Tc Sb
2 1 1
Direct
0.0000 0.0000 0.0000
0.5000 0.5000 0.2992
0.5000 0.5000 0.7978
0.0000 0.0000 0.6236
```

Formation energy from raw total energies (eV per atom): 0.10
Total magnetization (μB per cell): 0.000
D(E_F) (states/eV/cell): 3.19
Final energy (eV/cell): -19.56